Record 1
A geometry-optimized Sc2CrNiF structure, computed with GGA+U.

calculated total energy	-24.03	eV/cell
symmetry	P4/mmm (123)
total magnetic moment	4.26	μB/f.u.

The structure in POSCAR format:
```
Sc2CrNiF
1.0
5.197 0.000 0.000
0.000 3.728 0.000
0.000 0.000 5.197
F Ni Sc Cr
1 1 2 1
direct
0.000 0.500 0.000
0.000 0.000 0.000
0.000 0.000 0.500
0.500 0.000 0.000
0.500 0.500 0.500
```

Record 2
A geometry-optimized ScCrNi2F structure, computed with GGA+U.

calculated total energy	-19.53	eV/cell
symmetry	P4/mmm (123)
total magnetic moment	4.64	μB/f.u.

The structure in POSCAR format:
```
ScCrNi2F
1.0
4.637 0.000 0.000
0.000 3.932 0.000
0.000 0.000 4.637
Cr Sc Ni F
1 1 2 1
direct
0.500 0.500 0.500
0.000 0.000 0.000
0.000 0.000 0.500
0.500 0.000 0.000
0.000 0.500 0.000
```

Record 3
A geometry-optimized CrTcNiF2 structure, computed with GGA+U.

calculated total energy	-24.56	eV/cell
symmetry	P4/mmm (123)
total magnetic moment	1.07	μB/f.u.

The structure in POSCAR format:
```
CrTcNiF2
1.0
-0.186 0.325 3.973
-2.513 -4.540 0.254
3.488 -1.912 0.320
F Ni Tc Cr
2 1 1 1
direct
0.000 0.000 0.500
0.500 0.000 0.000
0.500 0.500 0.500
0.000 0.000 0.000
0.000 0.500 0.000
```

Record 4
A geometry-optimized Tl2CrNi3F12 structure, computed with GGA+U.

calculated total energy	-81.07	eV/cell
symmetry	R-3m (166)
total magnetic moment	2.59	μB/f.u.

The structure in POSCAR format:
```
Tl2CrNi3F12
1.0
7.360 0.117 0.083
3.736 6.343 0.083
3.736 2.175 5.959
Ni F Tl Cr
3 12 2 1
direct
0.000 0.000 0.500
0.000 0.500 0.000
0.500 0.000 0.000
0.686 0.070 0.070
0.314 0.930 0.930
0.324 0.324 0.925
0.930 0.314 0.930
0.070 0.686 0.070
0.930 0.930 0.314
0.925 0.324 0.324
0.324 0.925 0.324
0.075 0.676 0.676
0.676 0.676 0.075
0.070 0.070 0.686
0.676 0.075 0.676
0.387 0.387 0.387
0.613 0.613 0.613
0.000 0.000 0.000
```

Record 5
A geometry-optimized TlCr2NiF structure, computed with GGA+U.

calculated total energy	-20.25	eV/cell
symmetry	P4/mmm (123)
total magnetic moment	8.94	μB/f.u.

The structure in POSCAR format:
```
TlCr2NiF
1.0
4.205 0.000 0.000
0.000 5.232 0.000
0.000 0.000 4.205
Tl F Cr Ni
1 1 2 1
direct
0.000 0.500 0.000
0.000 0.000 0.000
0.500 0.000 0.000
0.000 0.000 0.500
0.500 0.500 0.500
```

Record 6
A geometry-optimized Tl2CrNiF6 structure, computed with GGA+U.

calculated total energy	-94.85	eV/cell
symmetry	Immm (71)
total magnetic moment	6.00	μB/f.u.

The structure in POSCAR format:
```
Tl2CrNiF6
1.0
-5.214 -0.681 2.988
-2.441 -2.660 -4.865
2.528 -7.331 2.740
Tl F Cr Ni
4 12 2 2
direct
0.000 0.250 0.750
0.000 0.250 0.250
0.500 0.750 0.250
0.500 0.750 0.750
0.739 0.012 0.000
0.261 0.012 0.000
0.500 0.250 0.254
0.761 0.512 0.500
0.239 0.512 0.500
0.261 0.488 0.000
0.000 0.750 0.246
0.239 0.988 0.500
0.761 0.988 0.500
0.500 0.250 0.746
0.000 0.750 0.754
0.739 0.488 0.000
0.000 0.750 0.000
0.500 0.250 0.500
0.500 0.250 0.000
0.000 0.750 0.500
```

Record 7
A geometry-optimized ZnCrNiF6 structure, computed with GGA+U.

calculated total energy	-85.30	eV/cell
symmetry	P-31c (163)
total magnetic moment	2.00	μB/f.u.

The structure in POSCAR format:
```
ZnCrNiF6
1.0
-4.480 0.887 2.643
-0.147 -2.315 -4.739
0.716 -8.081 3.925
F Cr Zn Ni
12 2 2 2
direct
0.663 0.988 0.372
0.325 0.988 0.128
0.675 0.012 0.872
0.988 0.325 0.628
0.337 0.325 0.872
0.325 0.337 0.372
0.675 0.663 0.628
0.012 0.337 0.128
0.012 0.675 0.372
0.988 0.663 0.872
0.337 0.012 0.628
0.663 0.675 0.128
0.667 0.333 0.250
0.333 0.667 0.750
0.000 0.000 0.500
0.000 0.000 0.000
0.333 0.667 0.250
0.667 0.333 0.750
```

Record 8
A geometry-optimized ZrCrNiF2 structure, computed with GGA+U.

calculated total energy	-24.07	eV/cell
symmetry	P4/mmm (123)
total magnetic moment	4.13	μB/f.u.

The structure in POSCAR format:
```
ZrCrNiF2
1.0
-1.551 -2.929 -2.222
4.729 -1.654 -1.120
-0.077 -2.385 3.197
Zr F Cr Ni
1 2 1 1
direct
0.500 0.500 0.500
0.000 0.000 0.500
0.500 0.000 0.000
0.000 0.500 0.000
0.000 0.000 0.000
```

Question: Which value of total magnetic moment does entry 7 give?
Answer: 2.00 μB/f.u.